# BeZn5

A geometry-optimized BeZn5 structure (GGA-PBE, Alexandria via LeMat-Bulk).

Formation energy: 0.0881 eV/atom
Energy above the most stable polymorph in this dataset: 0 meV per atom

Cell lengths 6.9810, 6.9810, 4.6253 Å; angles 90.00, 90.00, 158.41 degrees
With the nearest neighbours (Å) after each atom.
Sites, in units of the cell vectors:
Be  0.9992  0.0008  0.0000  10 Zn 2.53-2.77, 2 Be 2.62
Zn  0.3415  0.6585  0.0000  2 Be 2.53, 10 Zn 2.62-2.83
Zn  0.4468  0.5532  0.5000  8 Zn 2.59-2.73, 4 Be 2.75
Zn  0.7773  0.2227  0.5000  12 Zn 2.62-2.83
Zn  0.1099  0.8901  0.5000  10 Zn 2.59-2.74, 2 Be 2.77
Zn  0.6586  0.3414  0.0000  2 Be 2.55, 10 Zn 2.62-2.83


# Be2Zn

A geometry-optimized Be2Zn structure (GGA-PBE, Alexandria via LeMat-Bulk).

Formation energy: 0.4282 eV/atom
Energy above the most stable polymorph in this dataset: 366 meV per atom

Cell lengths 5.5833, 5.5833, 3.7584 Å; angles 90.00, 90.00, 120.00 degrees
With the nearest neighbours (Å) after each atom.
Sites, in units of the cell vectors:
Zn  0.6667  0.3333  0.0000  9 Be 2.24-2.48
Be  0.5169  0.0000  0.5000  5 Zn 2.48-2.70, 2 Be 2.50
Be  0.0000  0.2217  0.0000  2 Be 2.14, 4 Zn 2.24-2.25
Zn  0.3333  0.6667  0.0000  9 Be 2.24-2.48
Be  0.0000  0.5169  0.5000  5 Zn 2.48-2.70, 2 Be 2.50
Be  0.2217  0.0000  0.0000  2 Be 2.14, 4 Zn 2.24-2.25
Be  0.7783  0.7783  0.0000  2 Be 2.14, 4 Zn 2.24-2.25
Be  0.4831  0.4831  0.5000  5 Zn 2.48-2.70, 2 Be 2.50
Zn  0.0000  0.0000  0.5000  6 Be 2.25


# BeZn5

A geometry-optimized BeZn5 structure (GGA-PBE, Alexandria via LeMat-Bulk).

Formation energy: 0.1024 eV/atom
Energy above the most stable polymorph in this dataset: 15 meV per atom

Cell lengths 2.7495, 2.7495, 10.9849 Å; angles 90.00, 90.00, 90.00 degrees
With the nearest neighbours (Å) after each atom.
Sites, in units of the cell vectors:
Zn  0.5000  0.5000  0.8186  12 Zn 2.75-2.78
Zn  0.0000  0.0000  0.0000  12 Zn 2.75-2.78
Zn  0.0000  0.0000  0.3614  4 Be 2.47, 4 Zn 2.75
Zn  0.0000  0.0000  0.6386  4 Be 2.47, 4 Zn 2.75
Be  0.5000  0.5000  0.5000  8 Zn 2.47, 4 Be 2.75
Zn  0.5000  0.5000  0.1814  12 Zn 2.75-2.78


# BeZn3

A geometry-optimized BeZn3 structure (GGA-PBE, Alexandria via LeMat-Bulk).

Formation energy: 0.0909 eV/atom

Cell lengths 6.0945, 6.0945, 6.0945 Å; angles 156.18, 141.53, 45.75 degrees
With the nearest neighbours (Å) after each atom.
Sites, in units of the cell vectors:
Zn  0.8092  0.3092  0.5000  2 Be 2.48, 6 Zn 2.52-2.72
Zn  0.1908  0.6908  0.5000  2 Be 2.48, 6 Zn 2.52-2.72
Be  0.0000  0.0000  0.0000  8 Zn 2.37-2.48, 2 Be 2.52
Zn  0.5000  0.5000  0.0000  4 Be 2.37, 2 Zn 2.52


# Be3Zn2

A geometry-optimized Be3Zn2 structure (GGA-PBE, Alexandria via LeMat-Bulk).

Formation energy: 0.2688 eV/atom
Energy above the most stable polymorph in this dataset: 78 meV per atom

Cell lengths 9.9591, 9.9591, 9.9591 Å; angles 14.59, 14.59, 14.59 degrees
With the nearest neighbours (Å) after each atom.
Sites, in units of the cell vectors:
Be  0.0000  0.0000  0.0000  6 Zn 2.51, 6 Be 2.53
Be  0.1947  0.1947  0.1947  3 Be 2.21
Zn  0.4022  0.4022  0.4022  6 Be 2.51-2.53, 6 Zn 2.53
Be  0.8053  0.8053  0.8053  3 Be 2.21
Zn  0.5978  0.5978  0.5978  6 Be 2.51-2.53, 6 Zn 2.53


# BeZn3

A geometry-optimized BeZn3 structure (GGA-PBE, Alexandria via LeMat-Bulk).

Formation energy: 0.1734 eV/atom

Cell lengths 4.6210, 4.6210, 4.6210 Å; angles 132.27, 132.27, 69.80 degrees
With the nearest neighbours (Å) after each atom.
Sites, in units of the cell vectors:
Be  0.0000  0.0000  0.0000  12 Zn 2.64-2.66
Zn  0.5000  0.5000  0.0000  4 Be 2.64, 8 Zn 2.66
Zn  0.7500  0.2500  0.5000  8 Zn 2.64-2.66, 4 Be 2.66
Zn  0.2500  0.7500  0.5000  8 Zn 2.64-2.66, 4 Be 2.66


# Be2Zn

A geometry-optimized Be2Zn structure (GGA-PBE, Alexandria via LeMat-Bulk).

Formation energy: 0.3052 eV/atom
Energy above the most stable polymorph in this dataset: 243 meV per atom

Cell lengths 3.8898, 3.8898, 4.7941 Å; angles 90.00, 90.00, 120.00 degrees
With the nearest neighbours (Å) after each atom.
Sites, in units of the cell vectors:
Be  0.3333  0.6667  0.2500  5 Zn 2.25-2.40
Be  0.0000  0.0000  0.5000  8 Be 2.40-2.55, 6 Zn 2.55
Be  0.6667  0.3333  0.7500  5 Zn 2.25-2.40
Zn  0.3333  0.6667  0.7500  5 Be 2.25-2.40
Zn  0.6667  0.3333  0.2500  5 Be 2.25-2.40
Be  0.0000  0.0000  0.0000  8 Be 2.40-2.55, 6 Zn 2.55


# Be6Zn

A geometry-optimized Be6Zn structure (GGA-PBE, Alexandria via LeMat-Bulk).

Formation energy: 0.1325 eV/atom
Energy above the most stable polymorph in this dataset: 0 meV per atom

Cell lengths 4.1198, 6.8925, 9.1188 Å; angles 90.00, 90.00, 90.00 degrees
With the nearest neighbours (Å) after each atom.
Sites, in units of the cell vectors:
Zn  0.2500  0.7524  0.0837  13 Be 2.43-2.63
Be  0.9994  0.9372  0.3089  8 Be 2.05-2.29
Be  0.7500  0.9555  0.0997  5 Be 2.17-2.33
Be  0.2500  0.8110  0.7374  7 Be 2.06-2.23
Be  0.4994  0.5628  0.8089  8 Be 2.05-2.29
Be  0.7500  0.3518  0.6433  10 Be 2.29-2.48
Be  0.5006  0.9372  0.3089  8 Be 2.05-2.29
Be  0.7500  0.8518  0.8567  10 Be 2.29-2.48
Be  0.7500  0.6890  0.2374  7 Be 2.06-2.23
Be  0.7500  0.1890  0.2626  7 Be 2.06-2.23
Be  0.0006  0.5628  0.8089  8 Be 2.05-2.29
Be  0.9994  0.4372  0.1911  8 Be 2.05-2.29
Be  0.4994  0.0628  0.6911  8 Be 2.05-2.29
Be  0.2500  0.5445  0.5997  5 Be 2.17-2.33
Be  0.2500  0.6482  0.3567  10 Be 2.29-2.48
Zn  0.7500  0.7476  0.5837  13 Be 2.43-2.63
Zn  0.2500  0.2524  0.4163  13 Be 2.43-2.63
Be  0.5006  0.4372  0.1911  8 Be 2.05-2.29
Be  0.2500  0.3110  0.7626  7 Be 2.06-2.23
Be  0.2500  0.4091  0.9874  6 Be 2.13-2.29
Be  0.7500  0.4555  0.4003  5 Be 2.17-2.33
Be  0.2500  0.9091  0.5126  6 Be 2.13-2.29
Be  0.2500  0.1482  0.1433  10 Be 2.29-2.48
Be  0.2500  0.0445  0.9003  5 Be 2.17-2.33
Zn  0.7500  0.2476  0.9163  13 Be 2.43-2.63
Be  0.7500  0.5909  0.0126  6 Be 2.13-2.29
Be  0.7500  0.0909  0.4874  6 Be 2.13-2.29
Be  0.0006  0.0628  0.6911  8 Be 2.05-2.29


# Be2Zn

A geometry-optimized Be2Zn structure (GGA-PBE, Alexandria via LeMat-Bulk).

Formation energy: 0.2943 eV/atom
Energy above the most stable polymorph in this dataset: 232 meV per atom

Cell lengths 3.8070, 3.8070, 2.5027 Å; angles 90.00, 90.00, 120.00 degrees
With the nearest neighbours (Å) after each atom.
Sites, in units of the cell vectors:
Be  0.6667  0.3333  0.0000  3 Be 2.20
Zn  0.0000  0.0000  0.5000  2 Zn 2.50, 12 Be 2.53
Be  0.3333  0.6667  0.0000  3 Be 2.20


# Be2Zn

A geometry-optimized Be2Zn structure (GGA-PBE, Alexandria via LeMat-Bulk).

Formation energy: 0.4506 eV/atom
Energy above the most stable polymorph in this dataset: 389 meV per atom

Cell lengths 3.9418, 3.9418, 2.4364 Å; angles 90.00, 90.00, 90.00 degrees
With the nearest neighbours (Å) after each atom.
Sites, in units of the cell vectors:
Zn  0.0000  0.0000  0.0000  8 Be 2.32, 2 Zn 2.44
Be  0.5000  0.0000  0.5000  4 Zn 2.32, 2 Be 2.44
Be  0.0000  0.5000  0.5000  4 Zn 2.32, 2 Be 2.44


# BeZn5

A geometry-optimized BeZn5 structure (GGA-PBE, Alexandria via LeMat-Bulk).

Formation energy: 0.0876 eV/atom
Energy above the most stable polymorph in this dataset: 0 meV per atom

Cell lengths 5.4996, 5.4996, 6.7221 Å; angles 66.47, 66.47, 27.18 degrees
With the nearest neighbours (Å) after each atom.
Sites, in units of the cell vectors:
Zn  0.2975  0.2975  0.9475  9 Zn 2.58-2.87, 2 Be 2.63
Zn  0.6684  0.6684  0.6995  2 Be 2.50, 4 Zn 2.58-2.66
Zn  0.9641  0.9641  0.6062  8 Zn 2.58-2.82, 1 Be 2.83
Be  0.9940  0.9940  0.0057  8 Zn 2.50-2.63, 2 Be 2.58
Zn  0.5901  0.5901  0.2421  2 Be 2.57, 7 Zn 2.58-2.70
Zn  0.3192  0.3192  0.3323  2 Be 2.57, 6 Zn 2.58-2.70


# BeZn3

A geometry-optimized BeZn3 structure (GGA-PBE, Alexandria via LeMat-Bulk).

Formation energy: 0.1774 eV/atom

Cell lengths 4.3352, 2.8296, 4.5227 Å; angles 95.15, 90.00, 90.00 degrees
With the nearest neighbours (Å) after each atom.
Sites, in units of the cell vectors:
Zn  0.5000  0.2417  0.2416  5 Zn 2.47-2.74, 2 Be 2.50
Zn  0.0000  0.5000  0.5000  6 Zn 2.54-2.83, 4 Be 2.56-2.77
Be  0.0000  0.0000  0.0000  8 Zn 2.50-2.77
Zn  0.5000  0.7583  0.7584  5 Zn 2.47-2.74, 2 Be 2.50


# BeZn6

A geometry-optimized BeZn6 structure (GGA-PBE, Alexandria via LeMat-Bulk).

Formation energy: 0.8637 eV/atom

Cell lengths 6.0466, 6.0466, 6.0466 Å; angles 109.47, 109.47, 109.47 degrees
With the nearest neighbours (Å) after each atom.
Sites, in units of the cell vectors:
Zn  0.7500  0.2500  0.5000  4 Zn 2.47
Zn  0.2500  0.5000  0.7500  4 Zn 2.47
Zn  0.2500  0.7500  0.5000  4 Zn 2.47
Zn  0.7500  0.5000  0.2500  4 Zn 2.47
Zn  0.5000  0.2500  0.7500  4 Zn 2.47
Zn  0.5000  0.7500  0.2500  4 Zn 2.47
Be  0.0000  0.0000  0.0000  24 Zn 3.90


# Be2Zn

A geometry-optimized Be2Zn structure (GGA-PBE, Alexandria via LeMat-Bulk).

Formation energy: 0.0986 eV/atom
Energy above the most stable polymorph in this dataset: 37 meV per atom

Cell lengths 3.6135, 4.2877, 4.4260 Å; angles 90.00, 114.09, 90.00 degrees
With the nearest neighbours (Å) after each atom.
Sites, in units of the cell vectors:
Be  0.0000  0.5000  0.0000  6 Be 2.14-2.16
Be  0.0000  0.0000  0.0000  6 Be 2.14-2.16
Zn  0.2821  0.7500  0.5642  7 Be 2.28-2.52
Be  0.4360  0.2500  0.8719  6 Be 2.16-2.38, 1 Zn 2.28
Zn  0.7179  0.2500  0.4358  7 Be 2.28-2.52
Be  0.5640  0.7500  0.1281  6 Be 2.16-2.38, 1 Zn 2.28


# BeZn5

A geometry-optimized BeZn5 structure (GGA-PBE, Alexandria via LeMat-Bulk).

Formation energy: 0.1051 eV/atom
Energy above the most stable polymorph in this dataset: 17 meV per atom

Cell lengths 4.6123, 4.6123, 4.4573 Å; angles 90.00, 90.00, 120.00 degrees
With the nearest neighbours (Å) after each atom.
Sites, in units of the cell vectors:
Zn  0.3240  0.3240  0.0000  10 Zn 2.59-2.72, 2 Be 2.68
Zn  0.3333  0.6667  0.5000  3 Be 2.66, 9 Zn 2.66-2.72
Be  0.0000  0.0000  0.5000  12 Zn 2.66-2.68
Zn  0.6760  0.0000  0.0000  10 Zn 2.59-2.72, 2 Be 2.68
Zn  0.6667  0.3333  0.5000  3 Be 2.66, 9 Zn 2.66-2.72
Zn  0.0000  0.6760  0.0000  10 Zn 2.59-2.72, 2 Be 2.68


# Be2Zn

A geometry-optimized Be2Zn structure (GGA-PBE, Alexandria via LeMat-Bulk).

Formation energy: 0.1949 eV/atom
Energy above the most stable polymorph in this dataset: 133 meV per atom

Cell lengths 10.6892, 10.6892, 10.6892 Å; angles 161.52, 161.52, 26.25 degrees
With the nearest neighbours (Å) after each atom.
Sites, in units of the cell vectors:
Be  0.2503  0.2503  0.0000  8 Be 2.34-2.43, 4 Zn 2.38-2.39
Be  0.5003  0.0003  0.5000  8 Be 2.34-2.43, 4 Zn 2.38-2.39
Be  0.5769  0.5769  0.0000  4 Be 2.34-2.35, 6 Zn 2.43-2.59
Be  0.4231  0.4231  0.0000  4 Be 2.34-2.35, 6 Zn 2.43-2.59
Be  0.7497  0.7497  0.0000  8 Be 2.34-2.43, 4 Zn 2.38-2.39
Be  0.9997  0.4997  0.5000  8 Be 2.34-2.43, 4 Zn 2.38-2.39
Zn  0.0798  0.0798  0.0000  10 Be 2.38-2.59, 2 Zn 2.55
Be  0.8269  0.3269  0.5000  4 Be 2.34-2.35, 6 Zn 2.43-2.59
Zn  0.1702  0.6702  0.5000  10 Be 2.38-2.59, 2 Zn 2.55
Be  0.6731  0.1731  0.5000  4 Be 2.34-2.35, 6 Zn 2.43-2.59
Zn  0.9202  0.9202  0.0000  10 Be 2.38-2.59, 2 Zn 2.55
Zn  0.3298  0.8298  0.5000  10 Be 2.38-2.59, 2 Zn 2.55


# BeZn3

A geometry-optimized BeZn3 structure (GGA-PBE, Alexandria via LeMat-Bulk).

Formation energy: 0.1940 eV/atom

Cell lengths 4.7633, 4.7633, 4.7633 Å; angles 90.00, 90.00, 90.00 degrees
With the nearest neighbours (Å) after each atom.
Sites, in units of the cell vectors:
Zn  0.0000  0.7500  0.5000  2 Zn 2.38, 4 Be 2.66
Zn  0.0000  0.2500  0.5000  2 Zn 2.38, 4 Be 2.66
Be  0.5000  0.5000  0.5000  12 Zn 2.66
Zn  0.7500  0.5000  0.0000  2 Zn 2.38, 4 Be 2.66
Zn  0.5000  0.0000  0.2500  2 Zn 2.38, 4 Be 2.66
Zn  0.5000  0.0000  0.7500  2 Zn 2.38, 4 Be 2.66
Be  0.0000  0.0000  0.0000  12 Zn 2.66
Zn  0.2500  0.5000  0.0000  2 Zn 2.38, 4 Be 2.66


# Be2Zn

A geometry-optimized Be2Zn structure (GGA-PBE, Alexandria via LeMat-Bulk).

Formation energy: 0.5940 eV/atom
Energy above the most stable polymorph in this dataset: 532 meV per atom

Cell lengths 6.2324, 6.2324, 6.2324 Å; angles 146.87, 146.87, 47.55 degrees
With the nearest neighbours (Å) after each atom.
Sites, in units of the cell vectors:
Be  0.3392  0.8392  0.5000  3 Be 1.96-2.03
Be  0.1608  0.6608  0.5000  3 Be 1.96-2.03
Be  0.4108  0.4108  0.0000  3 Be 1.96-2.03
Be  0.5892  0.5892  0.0000  3 Be 1.96-2.03
Zn  0.7500  0.2500  0.5000  12 Be 2.55-2.71
Zn  0.0000  0.0000  0.0000  12 Be 2.55-2.71


# Be4Zn5

A geometry-optimized Be4Zn5 structure (GGA-PBE, Alexandria via LeMat-Bulk).

Formation energy: 0.1993 eV/atom
Energy above the most stable polymorph in this dataset: 0 meV per atom

Cell lengths 5.7377, 5.7377, 5.7377 Å; angles 95.84, 95.84, 142.81 degrees
With the nearest neighbours (Å) after each atom.
Sites, in units of the cell vectors:
Zn  0.6725  0.3275  0.0000  6 Zn 2.49-2.65, 6 Be 2.53-2.68
Be  0.0000  0.3593  0.3593  5 Be 2.16-2.39
Be  0.0000  0.6407  0.6407  5 Be 2.16-2.39
Zn  0.0000  0.0000  0.0000  8 Zn 2.62, 4 Be 2.76
Zn  0.6725  0.6725  0.3449  6 Zn 2.49-2.65, 6 Be 2.53-2.68
Be  0.6407  0.0000  0.6407  5 Be 2.16-2.39
Zn  0.3275  0.6725  0.0000  6 Zn 2.49-2.65, 6 Be 2.53-2.68
Zn  0.3275  0.3275  0.6551  6 Zn 2.49-2.65, 6 Be 2.53-2.68
Be  0.3593  0.0000  0.3593  5 Be 2.16-2.39


# Be2Zn

A geometry-optimized Be2Zn structure (GGA-PBE, Alexandria via LeMat-Bulk).

Formation energy: 0.2038 eV/atom
Energy above the most stable polymorph in this dataset: 142 meV per atom

Cell lengths 3.3750, 4.8910, 7.4454 Å; angles 90.00, 90.00, 90.00 degrees
With the nearest neighbours (Å) after each atom.
Sites, in units of the cell vectors:
Zn  0.2500  0.6390  0.4083  10 Be 2.36-2.57, 2 Zn 2.56
Be  0.7500  0.8858  0.2537  5 Zn 2.37-2.57, 7 Be 2.38-2.48
Be  0.2500  0.1214  0.4187  5 Zn 2.36-2.53, 7 Be 2.38-2.48
Zn  0.2500  0.1390  0.0917  10 Be 2.36-2.57, 2 Zn 2.56
Zn  0.7500  0.8610  0.9083  10 Be 2.36-2.57, 2 Zn 2.56
Be  0.2500  0.6142  0.7537  5 Zn 2.37-2.57, 7 Be 2.38-2.48
Be  0.7500  0.8786  0.5813  5 Zn 2.36-2.53, 7 Be 2.38-2.48
Be  0.2500  0.1142  0.7463  5 Zn 2.37-2.57, 7 Be 2.38-2.48
Be  0.7500  0.3786  0.9187  5 Zn 2.36-2.53, 7 Be 2.38-2.48
Be  0.7500  0.3858  0.2463  5 Zn 2.37-2.57, 7 Be 2.38-2.48
Be  0.2500  0.6214  0.0813  5 Zn 2.36-2.53, 7 Be 2.38-2.48
Zn  0.7500  0.3610  0.5917  10 Be 2.36-2.57, 2 Zn 2.56


| no. | magnetic moment (μB/f.u.) | final energy (eV for the cell shown) |
| --- | --- | --- |
| 1 | 0.0 | -9.57 |
| 2 | 0.0 | -22.33 |
| 3 | 0.0 | -9.48 |
| 4 | 0.0 | -7.18 |
| 5 | 0.0 | -12.38 |
| 6 | 0.0 | -6.85 |
| 7 | 0.0 | -15.62 |
| 8 | 0.0 | -90.81 |
| 9 | 0.0 | -7.84 |
| 10 | 0.0 | -7.37 |
| 11 | 0.0 | -9.57 |
| 12 | 0.0 | -6.84 |
| 13 | 0.0 | -5.32 |
| 14 | 0.0 | -16.86 |
| 15 | 0.0 | -9.47 |
| 16 | 0.0 | -32.57 |
| 17 | 0.0 | -13.54 |
| 18 | 0.0 | -13.89 |
| 19 | 0.0 | -19.48 |
| 20 | 0.0 | -32.46 |